Density functional theory data (PBE) for a geometry-optimized TbPaRhO6 structure.

Summary:
calculated density	7929	kg/m3
uncorrected formation energy	-2527	meV/atom
symmetry	P312

POSCAR file:
```
TbPaRhO6
1.0
-0.103 -1.810 4.559
-4.586 -2.591 -1.133
4.740 -2.416 -0.852
O Tb Pa Rh
6 1 1 1
Direct
0.740 0.020 0.319
0.260 0.020 0.701
0.740 0.299 0.980
0.260 0.299 0.319
0.740 0.681 0.701
0.260 0.681 0.980
0.500 0.667 0.333
0.000 0.333 0.667
0.500 0.000 0.000
```



Density functional theory data (PBE) for a geometry-optimized PaTcRhO6 structure.

Summary:
calculated density	7934	kg/m3
uncorrected formation energy	-1879	meV/atom
symmetry	P-31c

POSCAR file:
```
PaTcRhO6
1.0
5.403 0.000 0.000
-2.701 4.679 0.000
0.000 0.000 8.741
Pa O Tc Rh
2 12 2 2
Direct
0.333 0.667 0.250
0.667 0.333 0.750
0.344 0.321 0.375
0.656 0.679 0.625
0.679 0.023 0.375
0.023 0.344 0.625
0.977 0.656 0.375
0.656 0.977 0.875
0.679 0.656 0.125
0.321 0.977 0.625
0.321 0.344 0.875
0.977 0.321 0.125
0.023 0.679 0.875
0.344 0.023 0.125
0.333 0.667 0.750
0.667 0.333 0.250
0.000 0.000 0.500
0.000 0.000 0.000
```



Density functional theory data (PBE) for a geometry-optimized PaTeRhO6 structure.

Summary:
calculated density	7718	kg/m3
uncorrected formation energy	-1662	meV/atom
symmetry	P-31c

POSCAR file:
```
PaTeRhO6
1.0
-2.811 -4.637 -1.517
3.187 2.718 -3.763
6.865 -4.906 2.272
O Rh Pa Te
12 2 2 2
Direct
0.325 0.005 0.623
0.005 0.325 0.123
0.320 0.995 0.123
0.995 0.320 0.623
0.325 0.320 0.877
0.680 0.005 0.877
0.005 0.680 0.377
0.995 0.675 0.877
0.680 0.675 0.623
0.675 0.995 0.377
0.675 0.680 0.123
0.320 0.325 0.377
0.000 0.000 0.000
0.000 0.000 0.500
0.667 0.333 0.750
0.333 0.667 0.250
0.667 0.333 0.250
0.333 0.667 0.750
```



Density functional theory data (PBE) for a geometry-optimized PaTe2RhO8 structure.

Summary:
calculated density	5769	kg/m3
uncorrected formation energy	-1496	meV/atom
symmetry	P-3m1

POSCAR file:
```
PaTe2RhO8
1.0
-3.243 -5.426 0.649
5.236 1.005 3.457
-3.277 2.467 4.246
Te O Pa Rh
2 8 1 1
Direct
0.333 0.667 0.720
0.667 0.333 0.280
0.142 0.859 0.733
0.141 0.282 0.733
0.718 0.858 0.733
0.333 0.667 0.028
0.858 0.141 0.267
0.667 0.333 0.972
0.859 0.718 0.267
0.282 0.142 0.267
0.000 0.000 0.000
0.000 0.000 0.500
```



Density functional theory data (PBE) for a geometry-optimized Pa3Tl2RhO12 structure.

Summary:
calculated density	6533	kg/m3
uncorrected formation energy	-2188	meV/atom
symmetry	R-3m

POSCAR file:
```
Pa3Tl2RhO12
1.0
-1.736 1.857 7.417
3.734 -3.819 5.739
5.351 3.921 4.180
O Rh Tl Pa
12 1 2 3
Direct
0.943 0.943 0.287
0.319 0.955 0.319
0.287 0.943 0.943
0.057 0.057 0.713
0.057 0.713 0.057
0.943 0.287 0.943
0.045 0.681 0.681
0.681 0.681 0.045
0.713 0.057 0.057
0.955 0.319 0.319
0.681 0.045 0.681
0.319 0.319 0.955
0.000 0.000 0.000
0.671 0.671 0.671
0.329 0.329 0.329
0.000 0.500 0.000
0.000 0.000 0.500
0.500 0.000 0.000
```



Density functional theory data (PBE) for a geometry-optimized Pa2TlRhO8 structure.

Summary:
calculated density	7712	kg/m3
uncorrected formation energy	-2011	meV/atom
symmetry	P-3m1

POSCAR file:
```
Pa2TlRhO8
1.0
5.367 0.000 0.000
-2.684 4.648 0.000
0.000 0.000 7.745
O Tl Rh Pa
8 1 1 2
Direct
0.178 0.357 0.132
0.333 0.667 0.637
0.357 0.178 0.868
0.643 0.822 0.132
0.822 0.178 0.868
0.178 0.822 0.132
0.822 0.643 0.868
0.667 0.333 0.363
0.000 0.000 0.500
0.000 0.000 0.000
0.333 0.667 0.879
0.667 0.333 0.121
```



Density functional theory data (PBE) for a geometry-optimized PaTl2Rh2O6 structure.

Summary:
calculated density	7965	kg/m3
uncorrected formation energy	-1279	meV/atom
symmetry	R-3m

POSCAR file:
```
PaTl2Rh2O6
1.0
6.382 0.000 0.000
3.191 5.527 0.000
3.191 1.842 5.566
O Rh Pa Tl
6 2 1 2
Direct
0.764 0.239 0.234
0.239 0.764 0.234
0.761 0.236 0.766
0.236 0.236 0.766
0.236 0.761 0.766
0.764 0.764 0.234
0.581 0.581 0.257
0.419 0.419 0.743
0.000 0.000 0.000
0.779 0.779 0.663
0.221 0.221 0.337
```



Density functional theory data (PBE) for a geometry-optimized PaTl2RhO8 structure.

Summary:
calculated density	8411	kg/m3
uncorrected formation energy	-1396	meV/atom
symmetry	P2/m

POSCAR file:
```
PaTl2RhO8
1.0
-3.742 -2.823 1.896
1.730 -3.926 -2.664
3.947 -1.765 5.162
O Rh Tl Pa
8 1 2 1
Direct
0.277 0.272 0.000
0.821 0.182 0.767
0.821 0.182 0.233
0.699 0.703 0.500
0.301 0.297 0.500
0.723 0.728 0.000
0.179 0.818 0.233
0.179 0.818 0.767
0.000 0.000 0.000
0.500 0.500 0.759
0.500 0.500 0.241
0.000 0.000 0.500
```